ScCuTe2: relaxed, GGA-PBE.

Unit cell a=3.7125 b=3.7125 c=7.4937 alpha=90.00 beta=90.00 gamma=109.10
Fractional positions:
Te (0.0000, 0.0000, 0.0069)
Te (0.0000, 0.0000, 0.4931)
Sc (0.5000, 0.5000, 0.7500)
Cu (0.5000, 0.5000, 0.2500)

Electronic total energy in eV per atom: -4.469
E_form (uncorrected) in eV/atom: -0.291
Density of states at the Fermi level in states/eV/f.u.: 1.79
Space group: Cmmm